Entry 1:
Computed, not measured: a relaxed structure of Cu4PtW at the GGA-PBE level of DFT.

a b c (Å): 4.7812 4.7812 4.7812
angles (deg): 60.00 60.00 60.00
Atoms (fractional coordinates):
Cu (0.8756, 0.3748, 0.3748)
Cu (0.3748, 0.3748, 0.8756)
Cu (0.3748, 0.8756, 0.3748)
Cu (0.3748, 0.3748, 0.3748)
Pt (0.7500, 0.7500, 0.7500)
W (0.0000, 0.0000, 0.0000)

SG   F-43m, No. 216
Calculated formation energy   0.76 eV per formula unit


Entry 2:
Computed, not measured: a relaxed structure of RbPmBeS3 at the GGA-PBE level of DFT.

a b c (Å): 3.9735 9.3310 9.3001
angles (deg): 108.40 90.00 90.00
Atoms (fractional coordinates):
Rb (0.2500, 0.1963, 0.2312)
Rb (0.7500, 0.8037, 0.7688)
Pm (0.2500, 0.6653, 0.1548)
Pm (0.7500, 0.3347, 0.8452)
Be (0.2500, 0.0727, 0.6039)
Be (0.7500, 0.9273, 0.3961)
S (0.7500, 0.8812, 0.1645)
S (0.2500, 0.1188, 0.8355)
S (0.2500, 0.8439, 0.4723)
S (0.7500, 0.1561, 0.5277)
S (0.7500, 0.4570, 0.1600)
S (0.2500, 0.5430, 0.8400)

SG   P2_1/m, No. 11
E_form (uncorrected)   -1.522 eV/atom


Entry 3:
Computed, not measured: a relaxed structure of Mn2NiPt9 at the GGA-PBE level of DFT.

a b c (Å): 3.9136 3.9136 11.7730
angles (deg): 90.00 90.00 90.00
Atoms (fractional coordinates):
Mn (0.0000, 0.0000, 0.3311)
Mn (0.0000, 0.0000, 0.6689)
Ni (0.0000, 0.0000, 0.0000)
Pt (0.5000, 0.5000, 0.0000)
Pt (0.5000, 0.5000, 0.3324)
Pt (0.5000, 0.5000, 0.6676)
Pt (0.5000, 0.0000, 0.1648)
Pt (0.5000, 0.0000, 0.5000)
Pt (0.5000, 0.0000, 0.8352)
Pt (0.0000, 0.5000, 0.1648)
Pt (0.0000, 0.5000, 0.5000)
Pt (0.0000, 0.5000, 0.8352)

SG   P4/mmm, No. 123
Calculated formation energy   -3.11 eV per formula unit


Entry 4:
Computed, not measured: a relaxed structure of YGeSb at the GGA-PBE level of DFT.

a b c (Å): 4.0983 4.3550 8.4710
angles (deg): 104.90 90.00 90.00
Atoms (fractional coordinates):
Y (0.2500, 0.0988, 0.1976)
Y (0.7500, 0.9012, 0.8024)
Ge (0.2500, 0.4490, 0.8980)
Ge (0.7500, 0.5510, 0.1020)
Sb (0.2500, 0.7482, 0.4964)
Sb (0.7500, 0.2518, 0.5036)

SG   Cmcm, No. 63
E_form (uncorrected)   -0.720 eV/atom